Material: Tb4HoRh4
Method: DFT, GGA-PBE
State: optimized geometry

Properties
The value obtained for the formation energy from the elements is -0.66 eV/atom. Its spin magnetization is 0.00 Bohr magnetons per cell. Its space-group type is No. 86.

abc: 8.7838 8.7838 5.6405
angles: 90.00 90.00 90.00
Element x y z (fractional)
Tb 0.0656 0.6650 0.1556
Tb 0.1650 0.9344 0.6556
Tb 0.3350 0.5656 0.6556
Tb 0.4344 0.8350 0.1556
Tb 0.5656 0.1650 0.8444
Tb 0.6650 0.4344 0.3444
Tb 0.8350 0.0656 0.3444
Tb 0.9344 0.3350 0.8444
Ho 0.2500 0.2500 0.2500
Ho 0.7500 0.7500 0.7500
Rh 0.0247 0.6276 0.6516
Rh 0.1276 0.9753 0.1516
Rh 0.3724 0.5247 0.1516
Rh 0.4753 0.8724 0.6516
Rh 0.5247 0.1276 0.3484
Rh 0.6276 0.4753 0.8484
Rh 0.8724 0.0247 0.8484
Rh 0.9753 0.3724 0.3484